Record 1
Material: AgPtCl
Method: DFT, PBEsol
State: optimized geometry

Cell lengths 6.1773, 6.1773, 6.1773 Å; angles 90.00, 90.00, 90.00 degrees
Closest atoms and distances in Å follow each position.
Element x y z (fractional)
1 Ag 0.0000 0.0000 0.0000  4 Pt 2.67
2 Ag 0.0000 0.5000 0.5000  4 Pt 2.67
3 Ag 0.5000 0.0000 0.5000  4 Pt 2.67
4 Ag 0.5000 0.5000 0.0000  4 Pt 2.67
5 Pt 0.2500 0.2500 0.2500  4 Cl 2.67, 4 Ag 2.67
6 Pt 0.2500 0.7500 0.7500  4 Cl 2.67, 4 Ag 2.67
7 Pt 0.7500 0.2500 0.7500  4 Cl 2.67, 4 Ag 2.67
8 Pt 0.7500 0.7500 0.2500  4 Cl 2.67, 4 Ag 2.67
9 Cl 0.0000 0.0000 0.5000  4 Pt 2.67
10 Cl 0.0000 0.5000 0.0000  4 Pt 2.67
11 Cl 0.5000 0.0000 0.0000  4 Pt 2.67
12 Cl 0.5000 0.5000 0.5000  4 Pt 2.67

Output
* formation energy from raw total energies: 0.583 eV per atom
* symmetry: No. 216
* E_tot: -42.130 eV/cell
* calculated density: 9.54 g/cm3

Record 2
Material: AlSnH3
Method: DFT, PBEsol
State: optimized geometry

Cell lengths 3.7553, 3.7553, 3.7553 Å; angles 90.00, 90.00, 90.00 degrees
Closest atoms and distances in Å follow each position.
Element x y z (fractional)
1 Al 0.0000 0.0000 0.0000  6 H 1.88
2 Sn 0.5000 0.5000 0.5000  12 H 2.66
3 H 0.0000 0.0000 0.5000  2 Al 1.88
4 H 0.0000 0.5000 0.0000  2 Al 1.88
5 H 0.5000 0.0000 0.0000  2 Al 1.88

Output
* symmetry: No. 221
* E_tot: -16.401 eV/cell
* calculated density: 4.66 g/cm3

Record 3
Material: Al3MoIr
Method: DFT, PBEsol
State: optimized geometry

Cell lengths 4.5829, 4.5829, 4.5829 Å; angles 90.00, 90.00, 90.00 degrees
Closest atoms and distances in Å follow each position.
Element x y z (fractional)
1 Al 0.0000 0.0000 0.5000  2 Mo 2.29
2 Al 0.0000 0.5000 0.0000  2 Mo 2.29
3 Al 0.5000 0.0000 0.0000  2 Mo 2.29
4 Mo 0.0000 0.0000 0.0000  6 Al 2.29
5 Ir 0.5000 0.5000 0.5000  12 Al 3.24

Output
* symmetry: No. 221
* E_tot: -27.445 eV/cell
* formation energy: 1.28 eV/atom
* calculated density: 6.37 g/cm3